(1)
Pr2PuNi | GGA-PBE | optimized geometry

Results
The symmetry is P4/mmm (123). The energy of formation from the pure elements is 0.03 eV/atom. The calculation puts the energy above the most stable polymorph in this dataset at 0.000 eV per atom. As for the total energy: -7.390 eV/atom.

```
Pr2PuNi
1.0
3.549 0.000 0.000
0.000 3.549 0.000
0.000 0.000 8.652
Pr Pu Ni
2 1 1
Direct
0.000 0.000 0.197
0.000 0.000 0.803
0.500 0.500 0.500
0.500 0.500 0.000
```


(2)
PrPu3Ni8 | GGA-PBE | optimized geometry

Results
The symmetry is P3m1 (156). The energy of formation from the pure elements is -0.24 eV/atom. As for the total energy: -8.071 eV/atom.

```
PrPu3Ni8
1.0
5.072 0.000 0.000
-2.536 4.392 0.000
0.000 0.000 8.374
Pr Pu Ni
1 3 8
Direct
0.000 0.000 0.000
0.000 0.000 0.382
0.667 0.333 0.487
0.667 0.333 0.852
0.001 0.501 0.185
0.169 0.338 0.678
0.169 0.831 0.678
0.333 0.667 0.429
0.333 0.667 0.930
0.499 0.501 0.185
0.499 0.999 0.185
0.662 0.831 0.678
```


(3)
Pr2PuNi | GGA-PBE | optimized geometry

Results
The symmetry is R-3m (166). The energy of formation from the pure elements is 0.26 eV/atom. The calculation puts the energy above the most stable polymorph in this dataset at 0.228 eV per atom. As for the total energy: -7.162 eV/atom.

```
Pr2PuNi
1.0
1.830 1.057 10.469
-1.830 1.057 10.469
0.000 -2.113 10.469
Pr Pu Ni
2 1 1
Direct
0.109 0.109 0.109
0.891 0.891 0.891
0.000 0.000 0.000
0.500 0.500 0.500
```


(4)
PrPu2Ni | GGA-PBE | optimized geometry

Results
The symmetry is P4/mmm (123). The energy of formation from the pure elements is 0.10 eV/atom. The calculation puts the energy above the most stable polymorph in this dataset at 0.000 eV per atom. As for the total energy: -9.708 eV/atom.

```
PrPu2Ni
1.0
3.490 0.000 0.000
0.000 3.490 0.000
0.000 0.000 8.245
Pr Pu Ni
1 2 1
Direct
0.000 0.000 0.000
0.500 0.500 0.315
0.500 0.500 0.685
0.000 0.000 0.500
```


(5)
PrPu2Ni | GGA-PBE | optimized geometry

Results
The symmetry is R-3m (166). The energy of formation from the pure elements is 0.30 eV/atom. The calculation puts the energy above the most stable polymorph in this dataset at 0.201 eV per atom. As for the total energy: -9.508 eV/atom.

```
PrPu2Ni
1.0
1.764 1.019 10.179
-1.764 1.019 10.179
0.000 -2.037 10.179
Pr Pu Ni
1 2 1
Direct
0.000 0.000 0.000
0.108 0.108 0.108
0.892 0.892 0.892
0.500 0.500 0.500
```


(6)
PrPuNiRh | GGA-PBE | optimized geometry

Results
The symmetry is F-43m (216). The energy of formation from the pure elements is -0.27 eV/atom. As for the total energy: -8.336 eV/atom.

```
PrPuNiRh
1.0
0.000 3.479 3.479
3.479 0.000 3.479
3.479 3.479 0.000
Pr Pu Ni Rh
1 1 1 1
Direct
0.000 0.000 0.000
0.500 0.500 0.500
0.750 0.750 0.750
0.250 0.250 0.250
```


(7)
Pr2PuNi4Sb3 | GGA-PBE | optimized geometry

Results
The symmetry is P-4m2 (115). As for the total energy: -6.514 eV/atom.

```
Pr2PuNi4Sb3
1.0
4.456 0.000 0.000
0.000 4.456 0.000
0.000 0.000 10.492
Pr Pu Ni Sb
2 1 4 3
Direct
0.000 0.500 0.222
0.500 0.000 0.778
0.000 0.000 0.500
0.000 0.000 0.000
0.000 0.500 0.640
0.500 0.000 0.360
0.500 0.500 0.000
0.000 0.500 0.876
0.500 0.000 0.124
0.500 0.500 0.500
```


(8)
PrPuZnNi | GGA-PBE | optimized geometry

Results
The symmetry is F-43m (216). The energy of formation from the pure elements is -0.06 eV/atom. As for the total energy: -6.602 eV/atom.

```
PrPuZnNi
1.0
0.000 3.553 3.553
3.553 0.000 3.553
3.553 3.553 0.000
Pr Pu Zn Ni
1 1 1 1
Direct
0.000 0.000 0.000
0.500 0.500 0.500
0.750 0.750 0.750
0.250 0.250 0.250
```


(9)
RbPr2Ni | GGA-PBE | optimized geometry

Results
The symmetry is R-3m (166). The energy of formation from the pure elements is 0.06 eV/atom. As for the total energy: -4.014 eV/atom.

```
RbPr2Ni
1.0
2.098 1.211 11.543
-2.098 1.211 11.543
0.000 -2.422 11.543
Rb Pr Ni
1 2 1
Direct
0.000 0.000 0.000
0.125 0.125 0.125
0.875 0.875 0.875
0.500 0.500 0.500
```


(10)
PrReNi | GGA-PBE | optimized geometry

Results
The symmetry is I4/mmm (139). The energy of formation from the pure elements is 0.07 eV/atom. As for the total energy: -7.597 eV/atom.

```
PrReNi
1.0
-1.891 1.891 8.383
1.891 -1.891 8.383
1.891 1.891 -8.383
Pr Re Ni
2 2 2
Direct
0.166 0.166 0.000
0.834 0.834 0.000
0.000 0.500 0.500
0.500 0.000 0.500
0.392 0.392 0.000
0.608 0.608 0.000
```


(11)
Pr2ReNi | GGA-PBE | optimized geometry

Results
The symmetry is R-3m (166). The energy of formation from the pure elements is 0.51 eV/atom. As for the total energy: -6.433 eV/atom.

```
Pr2ReNi
1.0
1.799 1.039 8.313
-1.799 1.039 8.313
0.000 -2.078 8.313
Pr Re Ni
2 1 1
Direct
0.247 0.247 0.247
0.753 0.753 0.753
0.000 0.000 0.000
0.500 0.500 0.500
```


(12)
Pr2NiRh3 | GGA-PBE | optimized geometry

Results
The symmetry is P6_3/mmc (194). The energy of formation from the pure elements is -0.51 eV/atom. As for the total energy: -6.747 eV/atom.

```
Pr2NiRh3
1.0
5.479 0.000 0.000
-2.739 4.745 0.000
0.000 0.000 8.569
Pr Ni Rh
4 2 6
Direct
0.333 0.667 0.064
0.333 0.667 0.436
0.667 0.333 0.564
0.667 0.333 0.936
0.000 0.000 0.000
0.000 0.000 0.500
0.165 0.330 0.750
0.165 0.835 0.750
0.330 0.165 0.250
0.670 0.835 0.750
0.835 0.165 0.250
0.835 0.670 0.250
```


(13)
Pr2Ni2Rh | GGA-PBE | optimized geometry

Results
The symmetry is P4/mbm (127). The energy of formation from the pure elements is -0.33 eV/atom. The calculation puts the energy above the most stable polymorph in this dataset at 0.062 eV per atom. As for the total energy: -6.021 eV/atom.

```
Pr2Ni2Rh
1.0
7.082 0.000 0.000
0.000 7.082 0.000
0.000 0.000 3.971
Pr Ni Rh
4 4 2
Direct
0.186 0.314 0.000
0.314 0.814 0.000
0.686 0.186 0.000
0.814 0.686 0.000
0.118 0.618 0.500
0.382 0.118 0.500
0.618 0.882 0.500
0.882 0.382 0.500
0.000 0.000 0.500
0.500 0.500 0.500
```


(14)
Pr6NiRh2 | GGA-PBE | optimized geometry

Results
The symmetry is P2_1/c (14). The energy of formation from the pure elements is -0.37 eV/atom. The calculation puts the energy above the most stable polymorph in this dataset at 0.000 eV per atom. As for the total energy: -5.835 eV/atom.

```
Pr6NiRh2
1.0
6.774 0.000 0.000
0.000 7.471 0.000
-6.295 0.000 10.294
Pr Ni Rh
12 2 4
Direct
0.091 0.050 0.253
0.091 0.450 0.753
0.250 0.674 0.076
0.250 0.826 0.576
0.401 0.180 0.068
0.401 0.320 0.568
0.599 0.680 0.432
0.599 0.820 0.932
0.750 0.174 0.424
0.750 0.326 0.924
0.909 0.550 0.247
0.909 0.950 0.747
0.000 0.000 0.000
0.000 0.500 0.500
0.323 0.116 0.769
0.323 0.384 0.269
0.677 0.616 0.731
0.677 0.884 0.231
```


(15)
Pr2NiRh | GGA-PBE | optimized geometry

Results
The symmetry is P4/mmm (123). The energy of formation from the pure elements is -0.40 eV/atom. As for the total energy: -6.077 eV/atom.

```
Pr2NiRh
1.0
4.989 0.000 0.000
0.000 4.989 0.000
0.000 0.000 3.601
Pr Ni Rh
2 1 1
Direct
0.000 0.500 0.000
0.500 0.000 0.000
0.000 0.000 0.500
0.500 0.500 0.500
```


(16)
Pr3Ni2Rh7 | GGA-PBE | optimized geometry

Results
The symmetry is R-3m (166). The energy of formation from the pure elements is -0.49 eV/atom. As for the total energy: -6.939 eV/atom.

```
Pr3Ni2Rh7
1.0
2.672 1.543 8.606
-2.672 1.543 8.606
0.000 -3.085 8.606
Pr Ni Rh
3 2 7
Direct
0.000 0.000 0.000
0.139 0.139 0.139
0.861 0.861 0.861
0.333 0.333 0.333
0.667 0.667 0.667
0.078 0.579 0.579
0.421 0.421 0.922
0.421 0.922 0.421
0.500 0.500 0.500
0.579 0.078 0.579
0.579 0.579 0.078
0.922 0.421 0.421
```


(17)
Pr5Ni2Rh | GGA-PBE | optimized geometry

Results
The symmetry is I4/mcm (140). The energy of formation from the pure elements is -0.29 eV/atom. As for the total energy: -5.642 eV/atom.

```
Pr5Ni2Rh
1.0
-3.686 3.686 7.522
3.686 -3.686 7.522
3.686 3.686 -7.522
Pr Ni Rh
10 4 2
Direct
0.000 0.000 0.000
0.028 0.528 0.844
0.184 0.028 0.500
0.316 0.816 0.844
0.472 0.316 0.500
0.500 0.500 0.000
0.528 0.684 0.500
0.684 0.184 0.156
0.816 0.972 0.500
0.972 0.472 0.156
0.118 0.382 0.500
0.382 0.882 0.263
0.618 0.118 0.737
0.882 0.618 0.500
0.250 0.250 0.000
0.750 0.750 0.000
```


(18)
PrNi6Rh2 | GGA-PBE | optimized geometry

Results
The symmetry is Immm (71). The energy of formation from the pure elements is 0.10 eV/atom. As for the total energy: -5.922 eV/atom.

```
PrNi6Rh2
1.0
-2.091 3.034 5.360
2.091 -3.034 5.360
2.091 3.034 -5.360
Pr Ni Rh
1 6 2
Direct
0.000 0.000 0.000
0.088 0.284 0.803
0.314 0.500 0.814
0.481 0.284 0.197
0.519 0.716 0.803
0.686 0.500 0.186
0.912 0.716 0.197
0.377 0.877 0.500
0.623 0.123 0.500
```


(19)
Pr8Ni2Rh | GGA-PBE | optimized geometry

Results
The symmetry is C2/m (12). The energy of formation from the pure elements is -0.20 eV/atom. The calculation puts the energy above the most stable polymorph in this dataset at 0.000 eV per atom. As for the total energy: -5.393 eV/atom.

```
Pr8Ni2Rh
1.0
9.300 -2.615 0.000
9.300 2.615 0.000
-2.039 0.000 6.402
Pr Ni Rh
8 2 1
Direct
0.035 0.035 0.298
0.198 0.198 0.852
0.323 0.323 0.502
0.410 0.410 0.044
0.590 0.590 0.956
0.677 0.677 0.498
0.802 0.802 0.148
0.965 0.965 0.702
0.174 0.174 0.245
0.826 0.826 0.755
0.500 0.500 0.500
```


(20)
PrNiRh2 | GGA-PBE | optimized geometry

Results
The symmetry is Cmmm (65). The energy of formation from the pure elements is -0.13 eV/atom. The calculation puts the energy above the most stable polymorph in this dataset at 0.344 eV per atom. As for the total energy: -6.442 eV/atom.

```
PrNiRh2
1.0
2.570 -3.438 0.000
2.570 3.438 0.000
0.000 0.000 4.245
Pr Ni Rh
1 1 2
Direct
0.000 0.000 0.000
0.500 0.500 0.000
0.314 0.686 0.500
0.686 0.314 0.500
```


Number 1: D(E_F) 2.077 states/eV per atom, size of the total moment 6.969 μB per cell. Number 2: D(E_F) 2.748 states/eV per atom, size of the total moment 15.573 μB per cell. Number 3: D(E_F) 3.016 states/eV per atom, size of the total moment 6.541 μB per cell. Number 4: D(E_F) 3.755 states/eV per atom, size of the total moment 11.245 μB per cell. Number 5: D(E_F) 4.400 states/eV per atom, size of the total moment 11.773 μB per cell. Number 6: D(E_F) 3.072 states/eV per atom, size of the total moment 5.384 μB per cell. Number 7: D(E_F) 1.060 states/eV per atom, size of the total moment 5.141 μB per cell. Number 8: D(E_F) 2.504 states/eV per atom, size of the total moment 5.617 μB per cell. Number 9: D(E_F) 0.874 states/eV per atom, size of the total moment 0.000 μB per cell. Number 10: D(E_F) 1.323 states/eV per atom, size of the total moment 0.000 μB per cell. Number 11: D(E_F) 0.602 states/eV per atom, size of the total moment 0.000 μB per cell. Number 12: D(E_F) 0.926 states/eV per atom, size of the total moment 1.106 μB per cell. Number 13: D(E_F) 0.629 states/eV per atom, size of the total moment 0.000 μB per cell. Number 14: D(E_F) 1.171 states/eV per atom, size of the total moment 0.000 μB per cell. Number 15: D(E_F) 0.419 states/eV per atom, size of the total moment 0.000 μB per cell. Number 16: D(E_F) 1.023 states/eV per atom, size of the total moment 0.000 μB per cell. Number 17: D(E_F) 1.225 states/eV per atom, size of the total moment 0.000 μB per cell. Number 18: D(E_F) 1.896 states/eV per atom, size of the total moment 3.572 μB per cell. Number 19: D(E_F) 1.043 states/eV per atom, size of the total moment 0.000 μB per cell. Number 20: D(E_F) 1.559 states/eV per atom, size of the total moment 0.000 μB per cell.